1.
# Sm7Tl2Zn2

A relaxed structure of Sm7Tl2Zn2 (PBE, Alexandria).

As for the calculated total energy: -3.68 eV per atom. Its density of states at the Fermi level is 13.73 states/eV/f.u. As for the total magnetization: 0.00 μB/f.u. Its energy of formation is -0.0197 eV per atom. As for the crystal system: orthorhombic.

Cell lengths 6.8607, 6.8607, 7.7790 Å; angles 90.00, 90.00, 110.62 degrees
Last column: nearest neighbours and their distance in Å.
Fractional positions:
1 Sm 0.0000 0.0000 0.0000  2 Zn 3.21
2 Sm 0.0000 0.5000 0.2767  2 Zn 2.93
3 Sm 0.0000 0.5000 0.7233  2 Zn 2.93
4 Sm 0.5000 0.0000 0.2767  2 Zn 2.93
5 Sm 0.5000 0.0000 0.7233  2 Zn 2.93
6 Sm 0.5000 0.5000 0.2334  2 Zn 3.04, 2 Tl 3.20
7 Sm 0.5000 0.5000 0.7666  2 Zn 3.04, 2 Tl 3.20
8 Tl 0.1872 0.1872 0.5000  1 Tl 2.92, 2 Sm 3.20
9 Tl 0.8128 0.8128 0.5000  1 Tl 2.92, 2 Sm 3.20
10 Zn 0.2841 0.7159 0.0000  7 Sm 2.93-3.21
11 Zn 0.7159 0.2841 0.0000  7 Sm 2.93-3.21

2.
# LaTlH2

A relaxed structure of LaTlH2 (PBE, Alexandria).

As for the calculated total energy: -3.62 eV per atom. Its density of states at the Fermi level is 1.43 states/eV/f.u. Its energy relative to the lowest polymorph listed for this composition is 33.1 meV/atom. As for the total magnetization: 0.00 μB/f.u. As for the crystal system: cubic.

Cell lengths 4.5351, 4.5351, 4.5351 Å; angles 60.00, 60.00, 60.00 degrees
Last column: nearest neighbours and their distance in Å.
Fractional positions:
1 La 0.0000 0.0000 0.0000  8 H 2.78
2 Tl 0.5000 0.5000 0.5000  8 H 2.78
3 H 0.2500 0.2500 0.2500  4 Tl 2.78, 4 La 2.78
4 H 0.7500 0.7500 0.7500  4 Tl 2.78, 4 La 2.78

3.
# BaHgRh2

A relaxed structure of BaHgRh2 (PBE, Alexandria).

As for the calculated total energy: -4.39 eV per atom. Its density of states at the Fermi level is 2.93 states/eV/f.u. As for the total magnetization: 0.00 μB/f.u. Its energy of formation is -0.1574 eV per atom. As for the crystal system: trigonal.

Cell lengths 6.1421, 6.1421, 6.1421 Å; angles 45.12, 45.12, 45.12 degrees
Last column: nearest neighbours and their distance in Å.
Fractional positions:
1 Ba 0.0000 0.0000 0.0000  2 Rh 2.93
2 Hg 0.5000 0.5000 0.5000  6 Rh 2.73
3 Rh 0.1772 0.1772 0.1772  3 Hg 2.73, 3 Rh 2.74, 1 Ba 2.93
4 Rh 0.8228 0.8228 0.8228  3 Hg 2.73, 3 Rh 2.74, 1 Ba 2.93

4.
# LaPmCuIr

A relaxed structure of LaPmCuIr (PBE, Alexandria).

As for the calculated total energy: -6.09 eV per atom. Its density of states at the Fermi level is 3.72 states/eV/f.u. Its energy relative to the lowest polymorph listed for this composition is 51.7 meV/atom. As for the total magnetization: 0.00 μB/f.u. Its energy of formation is -0.4305 eV per atom. As for the crystal system: cubic.

Cell lengths 5.0628, 5.0628, 5.0628 Å; angles 60.00, 60.00, 60.00 degrees
Last column: nearest neighbours and their distance in Å.
Fractional positions:
1 La 0.0000 0.0000 0.0000  4 Ir 3.10, 4 Cu 3.10
2 Pm 0.5000 0.5000 0.5000  4 Cu 3.10, 4 Ir 3.10
3 Cu 0.7500 0.7500 0.7500  4 La 3.10, 4 Pm 3.10
4 Ir 0.2500 0.2500 0.2500  4 Pm 3.10, 4 La 3.10

5.
# YTa2Cu

A relaxed structure of YTa2Cu (PBE, Alexandria).

As for the calculated total energy: -8.32 eV per atom. Its density of states at the Fermi level is 3.71 states/eV/f.u. Its energy relative to the lowest polymorph listed for this composition is 62.7 meV/atom. As for the total magnetization: 0.00 μB/f.u. Its energy of formation is 0.2481 eV per atom. As for the crystal system: orthorhombic.

Cell lengths 3.8941, 6.0765, 6.0765 Å; angles 34.41, 90.00, 90.00 degrees
Last column: nearest neighbours and their distance in Å.
Fractional positions:
1 Y 0.0000 0.0000 0.0000  4 Cu 2.86, 1 Ta 3.03
2 Ta 0.0000 0.7392 0.7392  2 Cu 2.59, 4 Ta 2.79
3 Ta 0.5000 0.3157 0.3157  4 Ta 2.79
4 Cu 0.5000 0.5921 0.5921  2 Ta 2.59, 4 Y 2.86

6.
# LaPm5Hg3

A relaxed structure of LaPm5Hg3 (PBE, Alexandria).

As for the calculated total energy: -3.57 eV per atom. Its density of states at the Fermi level is 10.46 states/eV/f.u. As for the total magnetization: 0.00 μB/f.u. Its energy of formation is -0.2780 eV per atom. As for the crystal system: hexagonal.

Cell lengths 9.3438, 9.3438, 7.1276 Å; angles 90.00, 90.00, 120.00 degrees
Last column: nearest neighbours and their distance in Å.
Fractional positions:
1 La 0.0000 0.0000 0.0000  2 La 3.56, 6 Pm 3.57, 6 Hg 3.63
2 La 0.0000 0.0000 0.5000  2 La 3.56, 6 Pm 3.57, 6 Hg 3.63
3 Pm 0.0000 0.3314 0.2500  3 Hg 3.08-3.13
4 Pm 0.0000 0.6686 0.7500  3 Hg 3.08-3.13
5 Pm 0.3314 0.0000 0.2500  3 Hg 3.08-3.13
6 Pm 0.3314 0.3314 0.7500  3 Hg 3.08-3.13
7 Pm 0.3333 0.6667 0.0000  8 Pm 3.56-3.60, 6 Hg 3.57
8 Pm 0.3333 0.6667 0.5000  8 Pm 3.56-3.60, 6 Hg 3.57
9 Pm 0.6667 0.3333 0.0000  8 Pm 3.56-3.60, 6 Hg 3.57
10 Pm 0.6667 0.3333 0.5000  8 Pm 3.56-3.60, 6 Hg 3.57
11 Pm 0.6686 0.0000 0.7500  3 Hg 3.08-3.13
12 Pm 0.6686 0.6686 0.2500  3 Hg 3.08-3.13
13 Hg 0.0000 0.3387 0.7500  3 Pm 3.08-3.13
14 Hg 0.0000 0.6613 0.2500  3 Pm 3.08-3.13
15 Hg 0.3387 0.0000 0.7500  3 Pm 3.08-3.13
16 Hg 0.3387 0.3387 0.2500  3 Pm 3.08-3.13
17 Hg 0.6613 0.0000 0.2500  3 Pm 3.08-3.13
18 Hg 0.6613 0.6613 0.7500  3 Pm 3.08-3.13

7.
# Cd3HgAu3

A relaxed structure of Cd3HgAu3 (PBE, Alexandria).

As for the calculated total energy: -1.93 eV per atom. Its density of states at the Fermi level is 1.50 states/eV/f.u. Its energy relative to the lowest polymorph listed for this composition is 0.0 meV/atom. As for the total magnetization: 0.00 μB/f.u. Its energy of formation is -0.0869 eV per atom. As for the crystal system: monoclinic.

Cell lengths 6.8510, 6.8510, 6.3272 Å; angles 90.01, 90.01, 90.58 degrees
Last column: nearest neighbours and their distance in Å.
Fractional positions:
1 Cd 0.2345 0.2345 0.0004  6 Au 2.89-3.02, 2 Hg 3.17-3.18
2 Cd 0.2402 0.7598 0.0000  6 Au 2.87-2.99, 2 Cd 3.16
3 Cd 0.2472 0.7528 0.5000  6 Au 2.89-2.92, 2 Hg 3.11, 2 Cd 3.16
4 Cd 0.7528 0.2472 0.5000  6 Au 2.89-2.92, 2 Hg 3.11, 2 Cd 3.16
5 Cd 0.7598 0.2402 0.0000  6 Au 2.87-2.99, 2 Cd 3.16
6 Cd 0.7655 0.7655 0.9996  6 Au 2.89-3.02, 2 Hg 3.17-3.18
7 Hg 0.2046 0.2046 0.4992  6 Au 2.95-3.25, 4 Cd 3.11-3.18
8 Hg 0.7954 0.7954 0.5008  6 Au 2.95-3.25, 4 Cd 3.11-3.18
9 Au 0.9997 0.5004 0.2465  6 Cd 2.87-2.90, 2 Hg 2.95, 2 Au 3.12-3.21
10 Au 0.0003 0.4996 0.7535  6 Cd 2.87-2.90, 2 Hg 2.95, 2 Au 3.12-3.21
11 Au 0.4994 0.4994 0.7477  6 Cd 2.92-3.02, 2 Au 3.13-3.19, 2 Hg 3.25
12 Au 0.5004 0.9997 0.2465  6 Cd 2.87-2.90, 2 Hg 2.95, 2 Au 3.12-3.21
13 Au 0.4996 0.0003 0.7535  6 Cd 2.87-2.90, 2 Hg 2.95, 2 Au 3.12-3.21
14 Au 0.5006 0.5006 0.2523  6 Cd 2.92-3.02, 2 Au 3.13-3.19, 2 Hg 3.25

8.
# La8Dy5Th

A relaxed structure of La8Dy5Th (PBE, Alexandria).

As for the calculated total energy: -4.83 eV per atom. Its density of states at the Fermi level is 20.87 states/eV/f.u. As for the total magnetization: 0.00 μB/f.u. Its energy of formation is 0.1608 eV per atom. As for the crystal system: triclinic.

Cell lengths 8.4156, 8.7874, 8.9252 Å; angles 114.50, 118.06, 94.09 degrees
Last column: nearest neighbours and their distance in Å.
Fractional positions:
1 La 0.0000 0.0000 0.0000  3 Dy 3.28-3.47, 1 La 3.41
2 La 0.0212 0.2877 0.6212  2 La 3.32-3.38, 5 Dy 3.34-3.61, 1 Th 3.49
3 La 0.2403 0.6907 0.1675  2 Dy 3.32-3.53, 1 Th 3.47, 3 La 3.51-3.65
4 La 0.3646 0.1314 0.8117  5 La 3.32-3.69, 3 Dy 3.36-3.70, 1 Th 3.40
5 La 0.4583 0.7222 0.6468  4 Dy 3.33-3.66, 3 La 3.40-3.65, 1 Th 3.42
6 La 0.5711 0.4788 0.3235  4 La 3.40-3.66, 1 Th 3.50, 4 Dy 3.52-3.70
7 La 0.8823 0.3734 0.1500  4 La 3.41-3.77, 1 Dy 3.69, 1 Th 3.80
8 La 0.9478 0.8586 0.3267  4 La 3.38-3.77, 1 Th 3.43, 2 Dy 3.56-3.78
9 Dy 0.0899 0.7055 0.6958  5 La 3.32-3.70, 1 Dy 3.54
10 Dy 0.3414 0.2469 0.4696  4 La 3.28-3.66, 2 Dy 3.31-3.65, 1 Th 3.51
11 Dy 0.5627 0.0219 0.1616  4 La 3.36-3.64, 2 Dy 3.43-3.76, 1 Th 3.51
12 Dy 0.6837 0.0140 0.5826  4 La 3.37-3.53, 2 Dy 3.43-3.65
13 Dy 0.7874 0.5188 0.7915  2 Dy 3.31-3.54, 5 La 3.32-3.69, 1 Th 3.34
14 Th 0.4962 0.5667 0.9518  4 Dy 3.34-3.74, 6 La 3.40-3.50